Entry 1:
CuSN2F: relaxed, GGA-PBE.

The value obtained for the magnetic moment is 0.990 μB per atom. Its offset from the most stable computed form is 590 meV per atom. As for the formation energy without anion corrections: 1.607 eV/atom.

The space group is P4/mmm (No. 123) and the conventional cell measures 3.727, 3.727 and 5.048 Å, with angles of 90.00, 90.00 and 90.00 degrees. Symmetry generates all atoms from Cu at (0.000, 0.000, 0.000), S at (0.000, 0.000, 0.500), N at (0.000, 0.500, 0.000) and F at (0.500, 0.500, 0.500).



Entry 2:
V4Cr2Ge: relaxed, GGA-PBE.

The value obtained for the magnetic moment is 0.018 μB per atom. Its offset from the most stable computed form is 879 meV per atom. The calculation puts the energy of formation from the pure elements at 1018 meV per atom.

The space group is I4/mmm (No. 139) and the conventional cell measures 4.449, 4.449 and 11.583 Å, with angles of 90.00, 90.00 and 90.00 degrees. Symmetry generates all atoms from V at (0.000, 0.000, 0.207), V at (0.000, 0.500, 0.000), Cr at (0.000, 0.000, 0.378) and Ge at (0.000, 0.000, 0.000).



Entry 3:
LiBeP: relaxed, GGA-PBE.

The value obtained for the magnetic moment is 0.000 μB per atom. The calculation puts the energy of formation from the pure elements at -584 meV per atom.

The space group is P4/nmm (No. 129, origin choice 2) and the conventional cell measures 3.610, 3.610 and 6.009 Å, with angles of 90.00, 90.00 and 90.00 degrees. Symmetry generates all atoms from Li at (0.250, 0.250, 0.148), Be at (0.250, 0.750, 0.500) and P at (0.250, 0.250, 0.718).



Question: Look up the magnetic moment of the first one.
Answer: 0.990 μB per atom



Copy entry 2 word for word.
V4Cr2Ge: relaxed, GGA-PBE.

The value obtained for the magnetic moment is 0.018 μB per atom. Its offset from the most stable computed form is 879 meV per atom. The calculation puts the energy of formation from the pure elements at 1018 meV per atom.

The space group is I4/mmm (No. 139) and the conventional cell measures 4.449, 4.449 and 11.583 Å, with angles of 90.00, 90.00 and 90.00 degrees. Symmetry generates all atoms from V at (0.000, 0.000, 0.207), V at (0.000, 0.500, 0.000), Cr at (0.000, 0.000, 0.378) and Ge at (0.000, 0.000, 0.000).



Question: Which formula does entry 3 have?
Answer: LiBeP



Question: What is the magnetic moment in the first record?
Answer: 0.990 μB per atom